# Mn3TcNi (GGA-PBE, optimized geometry)
# - distance to the lowest polymorph of the same formula (meV/atom) = 0.0
# - M_tot (μB/atom) = 1.764
data_Mn3TcNi
_chemical_formula_sum 'Mn3 Tc1 Ni1'
_cell_length_a 4.510
_cell_length_b 4.510
_cell_length_c 4.510
_cell_angle_alpha 90.00
_cell_angle_beta 90.00
_cell_angle_gamma 90.00
_space_group_name_H-M_alt 'P m -3 m'
_space_group_IT_number 221
_space_group_name_Hall '-P 4 2 3'
loop_
_atom_site_label
_atom_site_fract_x
_atom_site_fract_y
_atom_site_fract_z
Mn1 0.000 0.000 0.500
Tc1 0.000 0.000 0.000
Ni1 0.500 0.500 0.500